# MnAgO3, optimized geometry, DFT PBE with a Hubbard U
data_MnAgO3
_symmetry_space_group_name_H-M 'R -3'
_symmetry_Int_Tables_number 148
_symmetry_space_group_name_Hall '-R 3'
_cell_length_a 5.1583
_cell_length_b 5.1583
_cell_length_c 15.3837
_cell_angle_alpha 90.00
_cell_angle_beta 90.00
_cell_angle_gamma 120.00
loop_
_atom_site_label
_atom_site_fract_x
_atom_site_fract_y
_atom_site_fract_z
Mn1 0.0000 0.0000 0.1608
Ag1 0.0000 0.0000 0.3601
O1 0.0114 0.3850 0.4302
# **Final energy**: -5.803 eV per atom
# **Volume**: 59 Å³/f.u.